Here is a relaxed Pr2HAu crystal from Alexandria via LeMat-Bulk. Energies are from PBE.

a b c (Å): 3.9646 7.1546 7.5891
angles (deg): 111.20 105.11 90.05
Closest atoms and distances in Å follow each position.
Space group P-1 (No. 2)
Inequivalent atoms, fractional coordinates:
Pr  0.0211  0.2719  0.0417 (multiplicity 2)  2 H 2.33-2.39
Pr  0.2927  0.2745  0.5863 (multiplicity 2)  2 H 2.36
H  0.1144  0.6174  0.2278 (multiplicity 2)  4 Pr 2.33-2.39
Au  0.3816  0.9300  0.7628 (multiplicity 2)  7 Pr 3.10-3.22, 1 Au 3.24

Polymorph energy (0 for the lowest one): 0 meV/atom
Electronic total energy: -4.634 eV per atom